(1)
Ac2YLu PBE-GGA relaxed; M_tot = 0.0 Bohr magnetons per cell
1.0
3.911 0.000 0.000
0.000 3.911 0.000
0.000 0.000 9.750
Ac Y Lu
2 1 1
direct
0.000 0.000 0.245
0.000 0.000 0.755
0.500 0.500 0.500
0.500 0.500 0.000

=====

(2)
CsPbC3 PBE-GGA relaxed; M_tot = 1.8 Bohr magnetons per cell
1.0
4.690 0.000 0.000
0.000 4.690 0.000
0.000 0.000 4.690
C Pb Cs
3 1 1
direct
0.500 0.000 0.000
0.000 0.500 0.000
0.000 0.000 0.500
0.500 0.500 0.500
0.000 0.000 0.000

=====

Number 1: calculated formation energy 0.05 eV/atom. Number 2: calculated formation energy 3.78 eV/atom.